# BeRu3 PBE-GGA optimized geometry
# Formation enthalpy at 0 K = 96 meV per atom
# DOS at the Fermi energy = 8.7 states/eV per cell
# Energy = -7.792 eV/atom
# Total magnetization = 0.00 μB/f.u.
data_BeRu3
_cell_length_a 3.614
_cell_length_b 3.614
_cell_length_c 7.912
_cell_angle_alpha 90.00
_cell_angle_beta 90.00
_cell_angle_gamma 90.00
_symmetry_space_group_name_H-M 'P 1'
_symmetry_Int_Tables_number 1
loop_
_symmetry_equiv_pos_as_xyz
'x,y,z'
loop_
_atom_site_label
_atom_site_fract_x
_atom_site_fract_y
_atom_site_fract_z
Be1 0.000 0.000 0.000
Be2 0.500 0.500 0.500
Ru1 0.000 0.000 0.500
Ru2 0.000 0.500 0.250
Ru3 0.000 0.500 0.750
Ru4 0.500 0.000 0.250
Ru5 0.500 0.000 0.750
Ru6 0.500 0.500 0.000

# Be24Ru5 PBE-GGA optimized geometry
# Formation enthalpy at 0 K = -257 meV per atom
# DOS at the Fermi energy = 12.2 states/eV per cell
# Energy = -4.940 eV/atom
# Total magnetization = 0.00 μB/f.u.
data_Be24Ru5
_cell_length_a 6.985
_cell_length_b 6.985
_cell_length_c 6.985
_cell_angle_alpha 109.47
_cell_angle_beta 109.47
_cell_angle_gamma 109.47
_symmetry_space_group_name_H-M 'P 1'
_symmetry_Int_Tables_number 1
loop_
_symmetry_equiv_pos_as_xyz
'x,y,z'
loop_
_atom_site_label
_atom_site_fract_x
_atom_site_fract_y
_atom_site_fract_z
Be1 0.000 0.186 0.366
Be2 0.000 0.366 0.186
Be3 0.000 0.382 0.680
Be4 0.000 0.680 0.382
Be5 0.180 0.814 0.814
Be6 0.186 0.000 0.366
Be7 0.186 0.366 0.000
Be8 0.298 0.618 0.618
Be9 0.320 0.320 0.702
Be10 0.320 0.702 0.320
Be11 0.366 0.000 0.186
Be12 0.366 0.186 0.000
Be13 0.382 0.000 0.680
Be14 0.382 0.680 0.000
Be15 0.618 0.298 0.618
Be16 0.618 0.618 0.298
Be17 0.634 0.634 0.820
Be18 0.634 0.820 0.634
Be19 0.680 0.000 0.382
Be20 0.680 0.382 0.000
Be21 0.702 0.320 0.320
Be22 0.814 0.180 0.814
Be23 0.814 0.814 0.180
Be24 0.820 0.634 0.634
Ru1 0.000 0.000 0.000
Ru2 0.000 0.000 0.608
Ru3 0.000 0.608 0.000
Ru4 0.392 0.392 0.392
Ru5 0.608 0.000 0.000

What is the energy in the first record?
-7.792 eV/atom

What is the DOS at the Fermi energy in the second record?
12.2 states/eV per cell

Among the records above, which one has the lowest DOS at the Fermi energy?
BeRu3